1.
Density functional theory data (meta-GGA SCAN) for GaAgP2O at its PBEsol-relaxed geometry.

Computed properties:
Electronic total energy: -14.06 eV per atom
Formation energy (no corrections): 0.89 eV/atom
Symmetry: P4/mmm (123)
M_tot: 0.000 μB/atom
Theoretical density: 4.754 g/cm³

Unit cell a=4.816 b=4.816 c=3.849 alpha=90.00 beta=90.00 gamma=90.00
Sites, in units of the cell vectors:
Ga 0.000 0.000 0.000
Ag 0.500 0.500 0.500
P 0.000 0.500 0.500
P 0.500 0.000 0.500
O 0.500 0.500 0.000

2.
Density functional theory data (meta-GGA SCAN) for GaAg3Os at its PBEsol-relaxed geometry.

Computed properties:
Electronic total energy: -34.95 eV per atom
Formation enthalpy at 0 K: 1.516 eV/atom
Symmetry: Pm-3m (221)
M_tot: 0.462 μB/atom
Theoretical density: 7.836 g/cm³

Unit cell a=4.982 b=4.982 c=4.982 alpha=90.00 beta=90.00 gamma=90.00
Sites, in units of the cell vectors:
Ga 0.000 0.000 0.000
Ag 0.000 0.500 0.500
Ag 0.500 0.000 0.500
Ag 0.500 0.500 0.000
Os 0.500 0.500 0.500

3.
Density functional theory data (meta-GGA SCAN) for Ga3AgOs at its PBEsol-relaxed geometry.

Computed properties:
Electronic total energy: -29.03 eV per atom
Formation enthalpy at 0 K: 1.431 eV/atom
Symmetry: Pm-3m (221)
M_tot: 0.439 μB/atom
Theoretical density: 8.190 g/cm³

Unit cell a=4.685 b=4.685 c=4.685 alpha=90.00 beta=90.00 gamma=90.00
Sites, in units of the cell vectors:
Ga 0.000 0.000 0.500
Ga 0.000 0.500 0.000
Ga 0.500 0.000 0.000
Ag 0.000 0.000 0.000
Os 0.500 0.500 0.500

4.
Density functional theory data (meta-GGA SCAN) for Rb2GaAgOs at its PBEsol-relaxed geometry.

Computed properties:
Electronic total energy: -30.86 eV per atom
Formation enthalpy at 0 K: 1.358 eV/atom
Symmetry: P4/mmm (123)
M_tot: 0.328 μB/atom
Theoretical density: 4.699 g/cm³

Unit cell a=6.153 b=6.153 c=5.028 alpha=90.00 beta=90.00 gamma=90.00
Sites, in units of the cell vectors:
Rb 0.000 0.500 0.000
Rb 0.500 0.000 0.000
Ga 0.000 0.000 0.500
Ag 0.500 0.500 0.000
Os 0.500 0.500 0.500

5.
Density functional theory data (meta-GGA SCAN) for GaAg2P2 at its PBEsol-relaxed geometry.

Computed properties:
Electronic total energy: -19.64 eV per atom
Formation enthalpy at 0 K: 0.332 eV/atom
Symmetry: I4/mmm (139)
M_tot: 0.000 μB/atom
Theoretical density: 6.880 g/cm³

Unit cell a=8.328 b=8.328 c=8.328 alpha=157.60 beta=157.60 gamma=31.89
Sites, in units of the cell vectors:
Ga 0.000 0.000 0.000
Ag 0.403 0.403 0.000
Ag 0.597 0.597 0.000
P 0.250 0.750 0.500
P 0.750 0.250 0.500

6.
Density functional theory data (meta-GGA SCAN) for Ga3AgP at its PBEsol-relaxed geometry.

Computed properties:
Electronic total energy: -17.51 eV per atom
Formation enthalpy at 0 K: 0.654 eV/atom
Symmetry: Pm-3m (221)
M_tot: 0.000 μB/atom
Theoretical density: 5.191 g/cm³

Unit cell a=4.811 b=4.811 c=4.811 alpha=90.00 beta=90.00 gamma=90.00
Sites, in units of the cell vectors:
Ga 0.000 0.000 0.500
Ga 0.000 0.500 0.000
Ga 0.500 0.000 0.000
Ag 0.000 0.000 0.000
P 0.500 0.500 0.500

7.
Density functional theory data (meta-GGA SCAN) for GaAgPb3 at its PBEsol-relaxed geometry.

Computed properties:
Electronic total energy: -54.51 eV per atom
Formation enthalpy at 0 K: 0.499 eV/atom
Symmetry: Pm-3m (221)
M_tot: 0.000 μB/atom
Theoretical density: 8.410 g/cm³

Unit cell a=5.404 b=5.404 c=5.404 alpha=90.00 beta=90.00 gamma=90.00
Sites, in units of the cell vectors:
Ga 0.000 0.000 0.000
Ag 0.500 0.500 0.500
Pb 0.000 0.500 0.500
Pb 0.500 0.000 0.500
Pb 0.500 0.500 0.000

8.
Density functional theory data (meta-GGA SCAN) for GaAg3Pd at its PBEsol-relaxed geometry.

Computed properties:
Electronic total energy: -27.87 eV per atom
Formation enthalpy at 0 K: 0.779 eV/atom
Symmetry: Pm-3m (221)
M_tot: 0.000 μB/atom
Theoretical density: 6.828 g/cm³

Unit cell a=4.953 b=4.953 c=4.953 alpha=90.00 beta=90.00 gamma=90.00
Sites, in units of the cell vectors:
Ga 0.000 0.000 0.000
Ag 0.000 0.500 0.500
Ag 0.500 0.000 0.500
Ag 0.500 0.500 0.000
Pd 0.500 0.500 0.500

9.
Density functional theory data (meta-GGA SCAN) for Pm2GaAg at its PBEsol-relaxed geometry.

Computed properties:
Electronic total energy: -34.42 eV per atom
Formation enthalpy at 0 K: -0.500 eV/atom
Symmetry: Fm-3m (225)
M_tot: 0.085 μB/atom
Theoretical density: 8.037 g/cm³

Unit cell a=5.150 b=5.150 c=5.150 alpha=60.00 beta=60.00 gamma=60.00
Sites, in units of the cell vectors:
Pm 0.250 0.250 0.250
Pm 0.750 0.750 0.750
Ga 0.000 0.000 0.000
Ag 0.500 0.500 0.500

10.
Density functional theory data (meta-GGA SCAN) for Pr2GaAg at its PBEsol-relaxed geometry.

Computed properties:
Electronic total energy: -34.06 eV per atom
Formation enthalpy at 0 K: -0.470 eV/atom
Symmetry: Fm-3m (225)
M_tot: 0.126 μB/atom
Theoretical density: 7.573 g/cm³

Unit cell a=5.223 b=5.223 c=5.223 alpha=60.00 beta=60.00 gamma=60.00
Sites, in units of the cell vectors:
Pr 0.250 0.250 0.250
Pr 0.750 0.750 0.750
Ga 0.000 0.000 0.000
Ag 0.500 0.500 0.500

11.
Density functional theory data (meta-GGA SCAN) for Ga2AgPt2 at its PBEsol-relaxed geometry.

Computed properties:
Electronic total energy: -41.44 eV per atom
Formation enthalpy at 0 K: -0.547 eV/atom
Symmetry: P4/mbm (127)
M_tot: 0.000 μB/atom
Theoretical density: 13.711 g/cm³

Unit cell a=7.412 b=7.412 c=2.811 alpha=90.00 beta=90.00 gamma=90.00
Sites, in units of the cell vectors:
Ga 0.157 0.343 0.000
Ga 0.343 0.843 0.000
Ga 0.657 0.157 0.000
Ga 0.843 0.657 0.000
Ag 0.000 0.000 0.500
Ag 0.500 0.500 0.500
Pt 0.142 0.642 0.500
Pt 0.358 0.142 0.500
Pt 0.642 0.858 0.500
Pt 0.858 0.358 0.500

12.
Density functional theory data (meta-GGA SCAN) for GaRe3Ag at its PBEsol-relaxed geometry.

Computed properties:
Electronic total energy: -50.03 eV per atom
Formation enthalpy at 0 K: 2.168 eV/atom
Symmetry: Pm-3m (221)
M_tot: 0.000 μB/atom
Theoretical density: 13.663 g/cm³

Unit cell a=4.473 b=4.473 c=4.473 alpha=90.00 beta=90.00 gamma=90.00
Sites, in units of the cell vectors:
Ga 0.000 0.000 0.000
Re 0.000 0.000 0.500
Re 0.000 0.500 0.000
Re 0.500 0.000 0.000
Ag 0.500 0.500 0.500

13.
Density functional theory data (meta-GGA SCAN) for GaTc2AgRh at its PBEsol-relaxed geometry.

Computed properties:
Electronic total energy: -28.94 eV per atom
Formation enthalpy at 0 K: 1.386 eV/atom
Symmetry: P4/mmm (123)
M_tot: 1.061 μB/atom
Theoretical density: 8.812 g/cm³

Unit cell a=4.503 b=4.503 c=4.428 alpha=90.00 beta=90.00 gamma=90.00
Sites, in units of the cell vectors:
Ga 0.000 0.000 0.000
Tc 0.000 0.500 0.000
Tc 0.500 0.000 0.000
Ag 0.500 0.500 0.500
Rh 0.000 0.000 0.500

14.
Density functional theory data (meta-GGA SCAN) for Ga3AgRu at its PBEsol-relaxed geometry.

Computed properties:
Electronic total energy: -21.92 eV per atom
Formation enthalpy at 0 K: 1.126 eV/atom
Symmetry: Pm-3m (221)
M_tot: 0.452 μB/atom
Theoretical density: 6.654 g/cm³

Unit cell a=4.708 b=4.708 c=4.708 alpha=90.00 beta=90.00 gamma=90.00
Sites, in units of the cell vectors:
Ga 0.000 0.000 0.500
Ga 0.000 0.500 0.000
Ga 0.500 0.000 0.000
Ag 0.000 0.000 0.000
Ru 0.500 0.500 0.500

15.
Density functional theory data (meta-GGA SCAN) for GaAg3Ru at its PBEsol-relaxed geometry.

Computed properties:
Electronic total energy: -27.75 eV per atom
Formation enthalpy at 0 K: 1.305 eV/atom
Symmetry: Pm-3m (221)
M_tot: 0.458 μB/atom
Theoretical density: 6.753 g/cm³

Unit cell a=4.954 b=4.954 c=4.954 alpha=90.00 beta=90.00 gamma=90.00
Sites, in units of the cell vectors:
Ga 0.000 0.000 0.000
Ag 0.000 0.500 0.500
Ag 0.500 0.000 0.500
Ag 0.500 0.500 0.000
Ru 0.500 0.500 0.500

16.
Density functional theory data (meta-GGA SCAN) for GaAg3S at its PBEsol-relaxed geometry.

Computed properties:
Electronic total energy: -23.61 eV per atom
Formation energy (no corrections): 0.41 eV/atom
Symmetry: Pm-3m (221)
M_tot: 0.000 μB/atom
Theoretical density: 6.520 g/cm³

Unit cell a=4.767 b=4.767 c=4.767 alpha=90.00 beta=90.00 gamma=90.00
Sites, in units of the cell vectors:
Ga 0.000 0.000 0.000
Ag 0.000 0.500 0.500
Ag 0.500 0.000 0.500
Ag 0.500 0.500 0.000
S 0.500 0.500 0.500

17.
Density functional theory data (meta-GGA SCAN) for GaAg2S2 at its PBEsol-relaxed geometry.

Computed properties:
Electronic total energy: -19.55 eV per atom
Formation energy (no corrections): 0.12 eV/atom
Symmetry: I4/mmm (139)
M_tot: 0.000 μB/atom
Theoretical density: 5.951 g/cm³

Unit cell a=6.524 b=6.524 c=6.524 alpha=143.53 beta=143.53 gamma=52.53
Sites, in units of the cell vectors:
Ga 0.000 0.000 0.000
Ag 0.250 0.750 0.500
Ag 0.750 0.250 0.500
S 0.383 0.383 0.000
S 0.617 0.617 0.000

18.
Density functional theory data (meta-GGA SCAN) for Sc2GaAgS at its PBEsol-relaxed geometry.

Computed properties:
Electronic total energy: -17.69 eV per atom
Formation energy (no corrections): -0.53 eV/atom
Symmetry: P4/mmm (123)
M_tot: 0.000 μB/atom
Theoretical density: 4.814 g/cm³

Unit cell a=4.745 b=4.745 c=4.590 alpha=90.00 beta=90.00 gamma=90.00
Sites, in units of the cell vectors:
Sc 0.000 0.500 0.000
Sc 0.500 0.000 0.000
Ga 0.000 0.000 0.500
Ag 0.500 0.500 0.500
S 0.500 0.500 0.000

19.
Density functional theory data (meta-GGA SCAN) for Zn3GaAgS5 at its PBEsol-relaxed geometry.

Computed properties:
Electronic total energy: -14.43 eV per atom
Formation energy (no corrections): -0.79 eV/atom
Symmetry: P1 (1)
M_tot: 0.000 μB/atom
Theoretical density: 4.466 g/cm³

Unit cell a=6.291 b=6.610 c=10.106 alpha=109.05 beta=90.00 gamma=90.02
Sites, in units of the cell vectors:
Zn 0.000 0.000 0.000
Zn 0.001 0.380 0.792
Zn 0.003 0.189 0.395
Zn 0.494 0.118 0.596
Zn 0.498 0.518 0.392
Zn 0.509 0.936 0.201
Ga 0.001 0.784 0.598
Ga 0.500 0.320 0.996
Ag 0.007 0.593 0.198
Ag 0.508 0.726 0.797
S 0.363 0.785 0.583
S 0.369 0.007 0.008
S 0.370 0.371 0.798
S 0.373 0.193 0.401
S 0.399 0.592 0.191
S 0.863 0.316 0.985
S 0.868 0.523 0.411
S 0.870 0.110 0.593
S 0.872 0.946 0.197
S 0.901 0.721 0.797

20.
Density functional theory data (meta-GGA SCAN) for GaAg9Se6 at its PBEsol-relaxed geometry.

Computed properties:
Electronic total energy: -26.39 eV per atom
Formation energy (no corrections): -0.20 eV/atom
Symmetry: P2_13 (198)
M_tot: 0.000 μB/atom
Theoretical density: 7.578 g/cm³

Unit cell a=10.990 b=10.990 c=10.990 alpha=90.00 beta=90.00 gamma=90.00
Sites, in units of the cell vectors:
Ga 0.009 0.009 0.009
Ga 0.491 0.991 0.509
Ga 0.509 0.491 0.991
Ga 0.991 0.509 0.491
Ag 0.033 0.775 0.267
Ag 0.041 0.131 0.665
Ag 0.075 0.866 0.675
Ag 0.131 0.665 0.041
Ag 0.134 0.175 0.425
Ag 0.165 0.459 0.869
Ag 0.175 0.425 0.134
Ag 0.225 0.767 0.467
Ag 0.233 0.967 0.275
Ag 0.267 0.033 0.775
Ag 0.275 0.233 0.967
Ag 0.325 0.575 0.634
Ag 0.335 0.541 0.369
Ag 0.366 0.825 0.925
Ag 0.369 0.335 0.541
Ag 0.425 0.134 0.175
Ag 0.459 0.869 0.165
Ag 0.467 0.225 0.767
Ag 0.533 0.725 0.733
Ag 0.541 0.369 0.335
Ag 0.575 0.634 0.325
Ag 0.631 0.835 0.959
Ag 0.634 0.325 0.575
Ag 0.665 0.041 0.131
Ag 0.675 0.075 0.866
Ag 0.725 0.733 0.533
Ag 0.733 0.533 0.725
Ag 0.767 0.467 0.225
Ag 0.775 0.267 0.033
Ag 0.825 0.925 0.366
Ag 0.835 0.959 0.631
Ag 0.866 0.675 0.075
Ag 0.869 0.165 0.459
Ag 0.925 0.366 0.825
Ag 0.959 0.631 0.835
Ag 0.967 0.275 0.233
Se 0.031 0.969 0.469
Se 0.099 0.627 0.639
Se 0.127 0.861 0.901
Se 0.134 0.134 0.134
Se 0.139 0.401 0.373
Se 0.233 0.267 0.733
Se 0.267 0.733 0.233
Se 0.361 0.599 0.873
Se 0.366 0.866 0.634
Se 0.373 0.139 0.401
Se 0.401 0.373 0.139
Se 0.469 0.031 0.969
Se 0.531 0.531 0.531
Se 0.599 0.873 0.361
Se 0.627 0.639 0.099
Se 0.634 0.366 0.866
Se 0.639 0.099 0.627
Se 0.733 0.233 0.267
Se 0.767 0.767 0.767
Se 0.861 0.901 0.127
Se 0.866 0.634 0.366
Se 0.873 0.361 0.599
Se 0.901 0.127 0.861
Se 0.969 0.469 0.031

21.
Density functional theory data (meta-GGA SCAN) for Ga3AgSe at its PBEsol-relaxed geometry.

Computed properties:
Electronic total energy: -19.91 eV per atom
Formation energy (no corrections): 0.19 eV/atom
Symmetry: Pm-3m (221)
M_tot: 0.000 μB/atom
Theoretical density: 5.766 g/cm³

Unit cell a=4.849 b=4.849 c=4.849 alpha=90.00 beta=90.00 gamma=90.00
Sites, in units of the cell vectors:
Ga 0.000 0.000 0.500
Ga 0.000 0.500 0.000
Ga 0.500 0.000 0.000
Ag 0.000 0.000 0.000
Se 0.500 0.500 0.500

22.
Density functional theory data (meta-GGA SCAN) for Zn2GaAgSe4 at its PBEsol-relaxed geometry.

Computed properties:
Electronic total energy: -20.01 eV per atom
Formation energy (no corrections): -0.63 eV/atom
Symmetry: I-42m (121)
M_tot: 0.000 μB/atom
Theoretical density: 5.572 g/cm³

Unit cell a=6.922 b=6.922 c=6.922 alpha=130.77 beta=130.77 gamma=72.18
Sites, in units of the cell vectors:
Zn 0.250 0.750 0.500
Zn 0.750 0.250 0.500
Ga 0.000 0.000 0.000
Ag 0.500 0.500 0.000
Se 0.109 0.109 0.476
Se 0.367 0.891 0.000
Se 0.633 0.633 0.524
Se 0.891 0.367 0.000

23.
Density functional theory data (meta-GGA SCAN) for GaSi3Ag at its PBEsol-relaxed geometry.

Computed properties:
Electronic total energy: -14.35 eV per atom
Formation energy (no corrections): 1.20 eV/atom
Symmetry: Pm-3m (221)
M_tot: 0.000 μB/atom
Theoretical density: 4.237 g/cm³

Unit cell a=4.682 b=4.682 c=4.682 alpha=90.00 beta=90.00 gamma=90.00
Sites, in units of the cell vectors:
Ga 0.000 0.000 0.000
Si 0.000 0.000 0.500
Si 0.000 0.500 0.000
Si 0.500 0.000 0.000
Ag 0.500 0.500 0.500

24.
Density functional theory data (meta-GGA SCAN) for GaSi2Ag2 at its PBEsol-relaxed geometry.

Computed properties:
Electronic total energy: -19.44 eV per atom
Formation energy (no corrections): 0.38 eV/atom
Symmetry: I4/mmm (139)
M_tot: 0.000 μB/atom
Theoretical density: 6.625 g/cm³

Unit cell a=7.584 b=7.584 c=7.584 alpha=153.68 beta=153.68 gamma=37.56
Sites, in units of the cell vectors:
Ga 0.000 0.000 0.000
Si 0.250 0.750 0.500
Si 0.750 0.250 0.500
Ag 0.401 0.401 0.000
Ag 0.599 0.599 0.000